A geometry-optimized Ac4NiPt2 structure, computed with PBE-GGA. Values from VASP.

```
&SYSTEM
  ibrav = 0, nat = 7, ntyp = 3
/
ATOMIC_SPECIES
Ni 58.69 Ni.upf
Ac 227.00 Ac.upf
Pt 195.08 Pt.upf
CELL_PARAMETERS angstrom
5.4650 0.0000 0.0000
0.0000 5.4650 0.0000
-2.7325 -2.7325 7.6519
ATOMIC_POSITIONS angstrom
Ni 0.0000 0.0000 0.0000
Ac 2.7325 2.7325 4.6614
Ac 0.0000 0.0000 2.9905
Ac 0.0000 2.7325 0.0000
Ac 2.7325 0.0000 0.0000
Pt 2.7325 2.7325 1.7995
Pt 0.0000 0.0000 5.8524
```

## Properties
Energy above the most stable polymorph in this dataset = 0.247 eV per atom
Final energy = -5.388 eV per atom
DOS(E_F) = 1.061 states/eV per atom
ΔH_f (0 K) = -0.49 eV/atom
Spin magnetization = 0.0 μB per formula unit